1.
Below is ZrOs2W at its PBEsol-relaxed geometry, with properties calculated at the SCAN level.

Unit cell a=3.1761 b=3.1761 c=6.4043 alpha=90.00 beta=90.00 gamma=90.00
Sites, in units of the cell vectors:
Os 0.5000 0.5000 0.2668
Os 0.0000 0.0000 0.9949
Zr 0.5000 0.5000 0.7609
W 0.0000 0.0000 0.4774

As for the volume: 16.2 Å³ per atom. As for the symmetry: P4mm, No. 99. The energy of formation is 139 meV per atom. The total energy comes out at -2.2379 Ha/atom. The calculation puts the total magnetic moment at 0.0 μB per formula unit.

=====

2.
Below is ZrOsW2 at its PBEsol-relaxed geometry, with properties calculated at the SCAN level.

Unit cell a=3.1813 b=3.1813 c=6.4802 alpha=90.00 beta=90.00 gamma=90.00
Sites, in units of the cell vectors:
W 0.5000 0.5000 0.2326
W 0.0000 0.0000 0.0045
Zr 0.0000 0.0000 0.5026
Os 0.5000 0.5000 0.7603

As for the volume: 16.4 Å³ per atom. As for the symmetry: P4mm, No. 99. The offset from the most stable computed form is 0.000 eV/atom. The energy of formation is -105 meV per atom. The total energy comes out at -2.2268 Ha/atom. The calculation puts the total magnetic moment at 0.0 μB per formula unit.

=====

3.
Below is ZrOsW2 at its PBEsol-relaxed geometry, with properties calculated at the SCAN level.

Unit cell a=2.8065 b=4.5250 c=5.2053 alpha=90.00 beta=100.99 gamma=90.00
Sites, in units of the cell vectors:
Zr 0.5000 0.5000 0.0000
W 0.7512 0.0000 0.7470
W 0.2488 0.0000 0.2530
Os 0.0000 0.5000 0.5000

As for the volume: 16.2 Å³ per atom. As for the symmetry: P2/m, No. 10. The offset from the most stable computed form is 0.169 eV/atom. The energy of formation is 64 meV per atom. The total energy comes out at -2.2206 Ha/atom. The calculation puts the total magnetic moment at 0.0 μB per formula unit.